# CePr2Sm3Te6 (PBE, relaxed)
data_CePr2Sm3Te6
_cell_length_a 19.5417
_cell_length_b 4.4551
_cell_length_c 9.0276
_cell_angle_alpha 90.00
_cell_angle_beta 103.45
_cell_angle_gamma 90.00
_symmetry_space_group_name_H-M 'C 1 2/m 1'
_symmetry_Int_Tables_number 12
_symmetry_space_group_name_Hall '-C 2y'
loop_
_atom_site_label
_atom_site_type_symbol
_atom_site_fract_x
_atom_site_fract_y
_atom_site_fract_z
_atom_site_occupancy
Ce1 Ce 0.0000 0.0000 0.0000 1
Pr1 Pr 0.1669 0.5000 0.3331 1
Sm1 Sm 0.0000 0.0000 0.5000 1
Sm2 Sm 0.1690 0.5000 0.8345 1
Te1 Te 0.0023 0.5000 0.7485 1
Te2 Te 0.1651 0.0000 0.5871 1
Te3 Te 0.1665 0.0000 0.0785 1
# Raw formation energy: -1.40 eV/atom
# E_tot: -0.40020 Ry/atom

---

# Rb4DyU3O12 (PBE, relaxed)
data_Rb4DyU3O12
_cell_length_a 8.7095
_cell_length_b 8.7095
_cell_length_c 8.7095
_cell_angle_alpha 90.00
_cell_angle_beta 90.00
_cell_angle_gamma 90.00
_symmetry_space_group_name_H-M 'I m -3 m'
_symmetry_Int_Tables_number 229
_symmetry_space_group_name_Hall '-I 4 2 3'
loop_
_atom_site_label
_atom_site_type_symbol
_atom_site_fract_x
_atom_site_fract_y
_atom_site_fract_z
_atom_site_occupancy
Rb1 Rb 0.2500 0.2500 0.2500 1
Dy1 Dy 0.0000 0.0000 0.0000 1
U1 U 0.0000 0.0000 0.5000 1
O1 O 0.0000 0.0000 0.2659 1
O2 O 0.0000 0.2500 0.5000 1
# Raw formation energy: -2.89 eV/atom
# E_tot: -0.58674 Ry/atom

---

# SrMg2Ag (PBE, relaxed)
data_SrMg2Ag
_cell_length_a 6.3390
_cell_length_b 11.5299
_cell_length_c 3.3875
_cell_angle_alpha 90.00
_cell_angle_beta 117.32
_cell_angle_gamma 90.00
_symmetry_space_group_name_H-M 'C 1 2/m 1'
_symmetry_Int_Tables_number 12
_symmetry_space_group_name_Hall '-C 2y'
loop_
_atom_site_label
_atom_site_type_symbol
_atom_site_fract_x
_atom_site_fract_y
_atom_site_fract_z
_atom_site_occupancy
Sr1 Sr 0.0000 0.0000 0.0000 1
Mg1 Mg 0.2500 0.2500 0.5000 1
Ag1 Ag 0.0000 0.5000 0.0000 1
# E_tot: -0.13629 Ry/atom
# DFT formation energy: 0.076 eV/atom